Material: MgNbAl2In
Method: DFT, PBEsol
State: optimized geometry

Cell lengths 4.8163, 4.8163, 5.0052 Å; angles 90.00, 90.00, 90.00 degrees
Last column: nearest neighbours and their distance in Å.
Fractional positions:
Mg  0.0000  0.0000  0.0000  4 Al 2.41, 2 In 2.50
Al  0.5000  0.0000  0.0000  2 Mg 2.41
Nb  0.5000  0.5000  0.5000  4 In 3.41, 8 Al 3.47
Al  0.0000  0.5000  0.0000  2 Mg 2.41
In  0.0000  0.0000  0.5000  2 Mg 2.50

Calculated values
Symmetry = No. 123
ΔE_f = 1.31 eV/atom


Material: CaAg2Cl
Method: DFT, PBEsol
State: optimized geometry

Cell lengths 3.6359, 4.0844, 6.3594 Å; angles 108.63, 106.61, 90.00 degrees
Last column: nearest neighbours and their distance in Å.
Fractional positions:
Ca  0.5000  0.0000  0.0000  4 Cl 2.73
Ag  0.2473  0.2472  0.4945  4 Ag 2.73-2.74
Ag  0.7527  0.7528  0.5055  4 Ag 2.73-2.74
Cl  0.0000  0.5000  0.0000  4 Ca 2.73

Calculated values
Formation energy without anion corrections = -0.665 eV/atom
Symmetry = No. 12
Excess energy over the best structure of this formula in the dataset = 0.02 eV/f.u.


Material: LiMnPO4
Method: DFT, PBEsol
State: optimized geometry

Cell lengths 5.9681, 7.6339, 8.4850 Å; angles 116.73, 90.00, 90.00 degrees
Last column: nearest neighbours and their distance in Å.
Fractional positions:
O  0.7689  0.9639  0.3122  1 P 1.55
Li  0.7334  0.2393  0.4781  4 O 1.95-2.00
O  0.6982  0.3482  0.3115  1 P 1.55
Mn  0.4840  0.1935  0.8010  4 O 1.94-2.10
Mn  0.9840  0.3926  0.1990  4 O 1.94-2.10
P  0.4833  0.4189  0.2541  4 O 1.52-1.58
O  0.9822  0.2916  0.9445  1 P 1.52
O  0.7689  0.0361  0.6878  1 P 1.55
O  0.9835  0.3016  0.6515  1 P 1.58
O  0.4822  0.3471  0.0555  1 P 1.52
O  0.2689  0.6516  0.6878  1 P 1.55
Li  0.7334  0.7607  0.5219  4 O 1.95-2.00
P  0.9833  0.1648  0.7459  4 O 1.52-1.58
O  0.9822  0.7084  0.0555  1 P 1.52
O  0.4822  0.6529  0.9445  1 P 1.52
O  0.1982  0.0368  0.6885  1 P 1.55
Li  0.2334  0.7613  0.5219  4 O 1.95-2.00
O  0.2689  0.3484  0.3122  1 P 1.55
O  0.4835  0.3499  0.6515  1 P 1.58
P  0.4833  0.5811  0.7459  4 O 1.52-1.58
O  0.6982  0.6518  0.6885  1 P 1.55
Li  0.2334  0.2387  0.4781  4 O 1.95-2.00
O  0.4835  0.6501  0.3485  1 P 1.58
P  0.9833  0.8352  0.2541  4 O 1.52-1.58
Mn  0.9840  0.6074  0.8010  4 O 1.94-2.10
O  0.1982  0.9632  0.3115  1 P 1.55
O  0.9835  0.6984  0.3485  1 P 1.58
Mn  0.4840  0.8065  0.1990  4 O 1.94-2.10

Calculated values
Formation energy without anion corrections = -2.041 eV/atom
Symmetry = No. 37
Excess energy over the best structure of this formula in the dataset = 0.22 eV/f.u.


Spin magnetization for the records above, in order: 2.138, 0.000, 5.000 μB per formula unit
Electronic total energy for the records above, in order: -3.428, -3.356, -7.543 eV/atom